1.
# TmNbGa4 (PBE, optimized geometry)
# Energy of formation in eV per atom: -0.288
# DOS(E_F) in states/eV per atom: 0.32
# ΔE to the lowest computed polymorph in meV/atom: 60
# Magnetic moment in Bohr magnetons per cell: 0.00
# DFT total energy in Ha/atom: -0.1738
data_TmNbGa4
_cell_length_a 4.156
_cell_length_b 7.216
_cell_length_c 7.217
_cell_angle_alpha 90.00
_cell_angle_beta 90.00
_cell_angle_gamma 90.00
_space_group_name_H-M_alt 'I m m m'
_space_group_IT_number 71
_space_group_name_Hall '-I 2 2'
loop_
_atom_site_label
_atom_site_fract_x
_atom_site_fract_y
_atom_site_fract_z
Tm1 0.000 0.000 0.000
Nb1 0.000 0.500 0.000
Ga1 0.000 0.248 0.335

=====

2.
# Ga5CoNi4 (PBE, optimized geometry)
# Energy of formation in eV per atom: -0.344
# DOS(E_F) in states/eV per atom: 0.60
# Magnetic moment in Bohr magnetons per cell: 0.57
# DFT total energy in Ha/atom: -0.1794
data_Ga5CoNi4
_cell_length_a 2.924
_cell_length_b 2.924
_cell_length_c 14.435
_cell_angle_alpha 90.00
_cell_angle_beta 90.00
_cell_angle_gamma 90.00
_space_group_name_H-M_alt 'P 4/m m m'
_space_group_IT_number 123
_space_group_name_Hall '-P 4 2'
loop_
_atom_site_label
_atom_site_fract_x
_atom_site_fract_y
_atom_site_fract_z
Ga1 0.000 0.000 0.000
Ga2 0.000 0.000 0.200
Ga3 0.000 0.000 0.402
Co1 0.500 0.500 0.500
Ni1 0.500 0.500 0.101
Ni2 0.500 0.500 0.301

=====

3.
# Mg3AgSn2 (PBE, optimized geometry)
# Energy of formation in eV per atom: -0.156
# DOS(E_F) in states/eV per atom: 0.34
# ΔE to the lowest computed polymorph in meV/atom: 0
# Magnetic moment in Bohr magnetons per cell: 0.00
# DFT total energy in Ha/atom: -0.1015
data_Mg3AgSn2
_cell_length_a 3.349
_cell_length_b 3.349
_cell_length_c 11.896
_cell_angle_alpha 90.00
_cell_angle_beta 90.00
_cell_angle_gamma 90.00
_space_group_name_H-M_alt 'P 4/m m m'
_space_group_IT_number 123
_space_group_name_Hall '-P 4 2'
loop_
_atom_site_label
_atom_site_fract_x
_atom_site_fract_y
_atom_site_fract_z
Mg1 0.000 0.000 0.000
Mg2 0.000 0.000 0.362
Ag1 0.500 0.500 0.500
Sn1 0.500 0.500 0.182

=====

4.
# U8C5N3 (PBE, optimized geometry)
# DOS(E_F) in states/eV per atom: 1.99
# Magnetic moment in Bohr magnetons per cell: 19.26
# DFT total energy in Ha/atom: -0.3917
data_U8C5N3
_cell_length_a 6.9877
_cell_length_b 6.9877
_cell_length_c 16.9351
_cell_angle_alpha 90.00
_cell_angle_beta 90.00
_cell_angle_gamma 120.00
_space_group_name_H-M_alt 'R -3 m'
_space_group_IT_number 166
_space_group_name_Hall '-R 3 2"'
loop_
_atom_site_label
_atom_site_fract_x
_atom_site_fract_y
_atom_site_fract_z
U1 0.0000 0.0000 0.2488
U2 0.0013 0.5006 0.7507
C1 0.0000 0.0000 0.0000
C2 0.0000 0.0000 0.5000
C3 0.0000 0.5000 0.0000
N1 0.0000 0.5000 0.5000

=====

5.
# Rb2Cd7In2 (PBE, optimized geometry)
# Energy of formation in eV per atom: -0.022
# DOS(E_F) in states/eV per atom: 0.50
# Magnetic moment in Bohr magnetons per cell: 0.00
# DFT total energy in Ha/atom: -0.0470
data_Rb2Cd7In2
_cell_length_a 13.728
_cell_length_b 8.008
_cell_length_c 7.219
_cell_angle_alpha 90.00
_cell_angle_beta 121.48
_cell_angle_gamma 90.00
_space_group_name_H-M_alt 'C 1 2/m 1'
_space_group_IT_number 12
_space_group_name_Hall '-C 2y'
loop_
_atom_site_label
_atom_site_fract_x
_atom_site_fract_y
_atom_site_fract_z
Rb1 0.000 0.248 0.000
Cd1 0.000 0.500 0.500
Cd2 0.133 0.186 0.634
Cd3 0.240 0.500 0.949
In1 0.229 0.500 0.519

=====

6.
# TaOs3 (PBE, optimized geometry)
# Energy of formation in eV per atom: 0.281
# DOS(E_F) in states/eV per atom: 1.37
# Magnetic moment in Bohr magnetons per cell: 0.75
# DFT total energy in Ha/atom: -0.4081
data_TaOs3
_cell_length_a 3.304
_cell_length_b 3.304
_cell_length_c 5.697
_cell_angle_alpha 90.00
_cell_angle_beta 90.00
_cell_angle_gamma 90.00
_space_group_name_H-M_alt 'P 4/m m m'
_space_group_IT_number 123
_space_group_name_Hall '-P 4 2'
loop_
_atom_site_label
_atom_site_fract_x
_atom_site_fract_y
_atom_site_fract_z
Ta1 0.000 0.000 0.000
Os1 0.000 0.000 0.500
Os2 0.500 0.500 0.259

=====

7.
# Ho4TmPu (PBE, optimized geometry)
# Energy of formation in eV per atom: 0.702
# DOS(E_F) in states/eV per atom: 1.39
# ΔE to the lowest computed polymorph in meV/atom: 273
# Magnetic moment in Bohr magnetons per cell: 26.02
# DFT total energy in Ha/atom: -0.2015
data_Ho4TmPu
_cell_length_a 11.240
_cell_length_b 11.240
_cell_length_c 6.692
_cell_angle_alpha 90.00
_cell_angle_beta 90.00
_cell_angle_gamma 90.00
_space_group_name_H-M_alt 'I 41 m d'
_space_group_IT_number 109
_space_group_name_Hall 'I 4bw -2'
loop_
_atom_site_label
_atom_site_fract_x
_atom_site_fract_y
_atom_site_fract_z
Ho1 0.000 0.252 0.000
Ho2 0.000 0.272 0.490
Tm1 0.000 0.000 0.523
Pu1 0.000 0.000 0.999

=====

8.
# Y12Rh3N5 (PBE, optimized geometry)
# DOS(E_F) in states/eV per atom: 0.63
# Magnetic moment in Bohr magnetons per cell: 0.00
# DFT total energy in Ha/atom: -0.2945
data_Y12Rh3N5
_cell_length_a 15.251
_cell_length_b 15.251
_cell_length_c 15.251
_cell_angle_alpha 90.00
_cell_angle_beta 90.00
_cell_angle_gamma 90.00
_space_group_name_H-M_alt 'I a -3 d'
_space_group_IT_number 230
_space_group_name_Hall '-I 4bd 2c 3'
loop_
_atom_site_label
_atom_site_fract_x
_atom_site_fract_y
_atom_site_fract_z
Y1 0.031 0.053 0.651
Rh1 0.000 0.250 0.125
N1 0.000 0.000 0.000
N2 0.000 0.250 0.375

=====

9.
# TaReP2Cl (PBE, optimized geometry)
# DOS(E_F) in states/eV per atom: 1.20
# ΔE to the lowest computed polymorph in meV/atom: 32
# Magnetic moment in Bohr magnetons per cell: 3.24
# DFT total energy in Ha/atom: -0.2301
data_TaReP2Cl
_cell_length_a 4.576
_cell_length_b 4.576
_cell_length_c 4.862
_cell_angle_alpha 90.00
_cell_angle_beta 90.00
_cell_angle_gamma 90.00
_space_group_name_H-M_alt 'P 4/m m m'
_space_group_IT_number 123
_space_group_name_Hall '-P 4 2'
loop_
_atom_site_label
_atom_site_fract_x
_atom_site_fract_y
_atom_site_fract_z
Ta1 0.000 0.000 0.000
Re1 0.500 0.500 0.500
P1 0.000 0.500 0.500
Cl1 0.500 0.500 0.000

=====

10.
# HfVPd14 (PBE, optimized geometry)
# Energy of formation in eV per atom: -0.298
# DOS(E_F) in states/eV per atom: 1.50
# Magnetic moment in Bohr magnetons per cell: 0.67
# DFT total energy in Ha/atom: -0.2217
data_HfVPd14
_cell_length_a 5.611
_cell_length_b 5.611
_cell_length_c 7.845
_cell_angle_alpha 90.00
_cell_angle_beta 90.00
_cell_angle_gamma 90.00
_space_group_name_H-M_alt 'P 4/m m m'
_space_group_IT_number 123
_space_group_name_Hall '-P 4 2'
loop_
_atom_site_label
_atom_site_fract_x
_atom_site_fract_y
_atom_site_fract_z
Hf1 0.000 0.000 0.000
V1 0.500 0.500 0.000
Pd1 0.000 0.000 0.500
Pd2 0.000 0.500 0.000
Pd3 0.000 0.500 0.500
Pd4 0.253 0.253 0.244
Pd5 0.500 0.500 0.500

=====

11.
# TlCu2GeSe4 (PBE, optimized geometry)
# DOS(E_F) in states/eV per atom: 0.36
# Magnetic moment in Bohr magnetons per cell: 0.00
# DFT total energy in Ha/atom: -0.1424
data_TlCu2GeSe4
_cell_length_a 8.739
_cell_length_b 8.752
_cell_length_c 10.583
_cell_angle_alpha 90.00
_cell_angle_beta 90.00
_cell_angle_gamma 90.00
_space_group_name_H-M_alt 'F m m 2'
_space_group_IT_number 42
_space_group_name_Hall 'F 2 -2'
loop_
_atom_site_label
_atom_site_fract_x
_atom_site_fract_y
_atom_site_fract_z
Tl1 0.000 0.000 0.000
Cu1 0.250 0.250 0.249
Ge1 0.000 0.000 0.499
Se1 0.000 0.214 0.645
Se2 0.214 0.000 0.353

=====

12.
# Tb8Dy2Cd (PBE, optimized geometry)
# Energy of formation in eV per atom: 0.046
# DOS(E_F) in states/eV per atom: 1.59
# ΔE to the lowest computed polymorph in meV/atom: 56
# Magnetic moment in Bohr magnetons per cell: 0.00
# DFT total energy in Ha/atom: -0.1559
data_Tb8Dy2Cd
_cell_length_a 17.117
_cell_length_b 5.387
_cell_length_c 8.293
_cell_angle_alpha 90.00
_cell_angle_beta 116.12
_cell_angle_gamma 90.00
_space_group_name_H-M_alt 'C 1 2/m 1'
_space_group_IT_number 12
_space_group_name_Hall '-C 2y'
loop_
_atom_site_label
_atom_site_fract_x
_atom_site_fract_y
_atom_site_fract_z
Tb1 0.021 0.000 0.225
Tb2 0.103 0.500 0.932
Tb3 0.160 0.000 0.701
Tb4 0.168 0.500 0.404
Dy1 0.201 0.000 0.148
Cd1 0.000 0.500 0.500

=====

13.
# Sc2Ga3Ir (PBE, optimized geometry)
# Energy of formation in eV per atom: -0.297
# DOS(E_F) in states/eV per atom: 0.97
# Magnetic moment in Bohr magnetons per cell: 0.00
# DFT total energy in Ha/atom: -0.1984
data_Sc2Ga3Ir
_cell_length_a 4.562
_cell_length_b 5.443
_cell_length_c 9.104
_cell_angle_alpha 90.00
_cell_angle_beta 90.00
_cell_angle_gamma 90.00
_space_group_name_H-M_alt 'I m m m'
_space_group_IT_number 71
_space_group_name_Hall '-I 2 2'
loop_
_atom_site_label
_atom_site_fract_x
_atom_site_fract_y
_atom_site_fract_z
Sc1 0.000 0.000 0.187
Ga1 0.000 0.500 0.141
Ga2 0.000 0.500 0.500
Ir1 0.000 0.000 0.500

=====

14.
# Mg3ZnCr (PBE, optimized geometry)
# Energy of formation in eV per atom: 0.797
# DOS(E_F) in states/eV per atom: 0.51
# ΔE to the lowest computed polymorph in meV/atom: 0
# Magnetic moment in Bohr magnetons per cell: 4.98
# DFT total energy in Ha/atom: -0.0860
data_Mg3ZnCr
_cell_length_a 5.262
_cell_length_b 5.262
_cell_length_c 5.262
_cell_angle_alpha 90.00
_cell_angle_beta 90.00
_cell_angle_gamma 90.00
_space_group_name_H-M_alt 'P m -3 m'
_space_group_IT_number 221
_space_group_name_Hall '-P 4 2 3'
loop_
_atom_site_label
_atom_site_fract_x
_atom_site_fract_y
_atom_site_fract_z
Mg1 0.000 0.000 0.500
Zn1 0.500 0.500 0.500
Cr1 0.000 0.000 0.000

=====

15.
# HfZr5Ru6 (PBE, optimized geometry)
# Energy of formation in eV per atom: -0.672
# DOS(E_F) in states/eV per atom: 0.31
# Magnetic moment in Bohr magnetons per cell: 0.00
# DFT total energy in Ha/atom: -0.3565
data_HfZr5Ru6
_cell_length_a 4.633
_cell_length_b 13.901
_cell_length_c 6.527
_cell_angle_alpha 90.00
_cell_angle_beta 90.00
_cell_angle_gamma 90.00
_space_group_name_H-M_alt 'C m m m'
_space_group_IT_number 65
_space_group_name_Hall '-C 2 2'
loop_
_atom_site_label
_atom_site_fract_x
_atom_site_fract_y
_atom_site_fract_z
Hf1 0.000 0.000 0.000
Zr1 0.000 0.000 0.500
Zr2 0.000 0.333 0.500
Zr3 0.000 0.334 0.000
Ru1 0.000 0.166 0.249
Ru2 0.000 0.500 0.248

=====

16.
# NaTeAsSe2 (PBE, optimized geometry)
# DOS(E_F) in states/eV per atom: 0.70
# ΔE to the lowest computed polymorph in meV/atom: 0
# Magnetic moment in Bohr magnetons per cell: 1.21
# DFT total energy in Ha/atom: -0.1102
data_NaTeAsSe2
_cell_length_a 5.496
_cell_length_b 5.496
_cell_length_c 5.372
_cell_angle_alpha 90.00
_cell_angle_beta 90.00
_cell_angle_gamma 90.00
_space_group_name_H-M_alt 'P 4/m m m'
_space_group_IT_number 123
_space_group_name_Hall '-P 4 2'
loop_
_atom_site_label
_atom_site_fract_x
_atom_site_fract_y
_atom_site_fract_z
Na1 0.000 0.000 0.000
Te1 0.500 0.500 0.500
As1 0.500 0.500 0.000
Se1 0.000 0.500 0.500

=====

17.
# VBiSN2 (PBE, optimized geometry)
# DOS(E_F) in states/eV per atom: 0.84
# ΔE to the lowest computed polymorph in meV/atom: 1361
# Magnetic moment in Bohr magnetons per cell: 1.55
# DFT total energy in Ha/atom: -0.1896
data_VBiSN2
_cell_length_a 4.240
_cell_length_b 4.240
_cell_length_c 5.356
_cell_angle_alpha 90.00
_cell_angle_beta 90.00
_cell_angle_gamma 90.00
_space_group_name_H-M_alt 'P 4/m m m'
_space_group_IT_number 123
_space_group_name_Hall '-P 4 2'
loop_
_atom_site_label
_atom_site_fract_x
_atom_site_fract_y
_atom_site_fract_z
V1 0.000 0.000 0.000
Bi1 0.500 0.500 0.500
S1 0.500 0.500 0.000
N1 0.000 0.500 0.500

=====

18.
# LiNb2Rh (PBE, optimized geometry)
# Energy of formation in eV per atom: 0.329
# DOS(E_F) in states/eV per atom: 1.16
# Magnetic moment in Bohr magnetons per cell: 0.00
# DFT total energy in Ha/atom: -0.2580
data_LiNb2Rh
_cell_length_a 7.274
_cell_length_b 7.274
_cell_length_c 5.283
_cell_angle_alpha 90.00
_cell_angle_beta 90.00
_cell_angle_gamma 90.00
_space_group_name_H-M_alt 'I -4 2 d'
_space_group_IT_number 122
_space_group_name_Hall 'I -4 2bw'
loop_
_atom_site_label
_atom_site_fract_x
_atom_site_fract_y
_atom_site_fract_z
Li1 0.000 0.000 0.000
Nb1 0.224 0.250 0.625
Rh1 0.000 0.000 0.500

=====

19.
# Mg2CdAs2Rh5 (PBE, optimized geometry)
# Energy of formation in eV per atom: -0.437
# DOS(E_F) in states/eV per atom: 0.39
# Magnetic moment in Bohr magnetons per cell: 0.00
# DFT total energy in Ha/atom: -0.2004
data_Mg2CdAs2Rh5
_cell_length_a 9.601
_cell_length_b 9.601
_cell_length_c 3.545
_cell_angle_alpha 90.00
_cell_angle_beta 90.00
_cell_angle_gamma 90.00
_space_group_name_H-M_alt 'P 4/m b m'
_space_group_IT_number 127
_space_group_name_Hall '-P 4 2ab'
loop_
_atom_site_label
_atom_site_fract_x
_atom_site_fract_y
_atom_site_fract_z
Mg1 0.171 0.329 0.000
Cd1 0.000 0.000 0.000
As1 0.129 0.629 0.000
Rh1 0.000 0.500 0.500
Rh2 0.073 0.791 0.500

=====

20.
# Tb4YMg (PBE, optimized geometry)
# Energy of formation in eV per atom: -0.015
# DOS(E_F) in states/eV per atom: 1.33
# ΔE to the lowest computed polymorph in meV/atom: 0
# Magnetic moment in Bohr magnetons per cell: 0.00
# DFT total energy in Ha/atom: -0.1633
data_Tb4YMg
_cell_length_a 3.575
_cell_length_b 3.575
_cell_length_c 14.369
_cell_angle_alpha 90.00
_cell_angle_beta 90.00
_cell_angle_gamma 90.00
_space_group_name_H-M_alt 'P 4/m m m'
_space_group_IT_number 123
_space_group_name_Hall '-P 4 2'
loop_
_atom_site_label
_atom_site_fract_x
_atom_site_fract_y
_atom_site_fract_z
Tb1 0.000 0.000 0.153
Tb2 0.500 0.500 0.324
Y1 0.000 0.000 0.500
Mg1 0.500 0.500 0.000